# 1
# Na2LuPCO7

An optimized crystal structure of Na2LuPCO7 (PBE-GGA, Alexandria).

Properties
Fermi-level density of states, states/eV per cell: 0.0
Electronic total energy, eV for the cell shown: -170.09
Formation energy without anion corrections, eV per atom: -2.379

a b c (Å): 5.3226 6.8861 9.2969
angles (deg): 90.00 90.08 90.00
Space group P2_1/m (No. 11)
Symmetry-distinct sites (fractional):
Na  0.2470  0.0021  0.2887
Lu  0.2089  0.2500  0.8692
P  0.2912  0.7500  0.9230
C  0.2593  0.2500  0.5813
O  0.0371  0.2500  0.6427
O  0.1921  0.5657  0.8474
O  0.1981  0.7500  0.0833
O  0.2920  0.2500  0.4470
O  0.4149  0.2500  0.0754
O  0.4501  0.2500  0.6738

---

# 2
# LuNb2C

An optimized crystal structure of LuNb2C (PBE-GGA, Alexandria).

Properties
Fermi-level density of states, states/eV per cell: 8.1
Electronic total energy, eV for the cell shown: -101.94
Formation enthalpy at 0 K, eV/atom: -0.024

a b c (Å): 3.1683 3.1683 25.3323
angles (deg): 90.00 90.00 120.00
Space group R-3m (No. 166, hexagonal axes)
Symmetry-distinct sites (fractional):
Lu  0.0000  0.0000  0.0000
Nb  0.0000  0.0000  0.1193
C  0.0000  0.0000  0.5000

---

# 3
# LuNbC2

An optimized crystal structure of LuNbC2 (PBE-GGA, Alexandria).

Properties
Fermi-level density of states, states/eV per cell: 2.3
Electronic total energy, eV for the cell shown: -105.17
Formation enthalpy at 0 K, eV/atom: -0.505

a b c (Å): 3.2771 3.2771 16.4519
angles (deg): 90.00 90.00 120.00
Space group R-3m (No. 166, hexagonal axes)
Symmetry-distinct sites (fractional):
Lu  0.0000  0.0000  0.0000
Nb  0.0000  0.0000  0.5000
C  0.0000  0.0000  0.2424